# Pr4DyBi5

A relaxed Pr4DyBi5 crystal (PBE-GGA, the Alexandria database).

Crystal system   tetragonal
Space-group type   I4/mmm
DOS(E_F)   0.121 states/eV per atom
Calculated density   8.489 g/cm3
Energy of formation   -0.934 eV/atom

Cell lengths 4.613, 4.613, 16.605 Å; angles 97.98, 97.98, 90.00 degrees
Sites, in units of the cell vectors:
Pr1 0.401 0.401 0.801
Pr2 0.199 0.199 0.398
Pr3 0.599 0.599 0.199
Pr4 0.801 0.801 0.602
Bi1 0.902 0.902 0.804
Bi2 0.300 0.300 0.600
Bi3 0.500 0.500 0.000
Bi4 0.098 0.098 0.196
Bi5 0.700 0.700 0.400
Dy1 0.000 0.000 0.000